BaSrSmMnO6 | GGA+U | optimized geometry

The calculation puts the theoretical density at 5.94 Mg/m³. The polymorph energy (0 for the lowest one) comes out at 0 meV per atom.

The space group is P-1 (No. 2) and the conventional cell measures 5.929, 5.932 and 8.366 Å, with angles of 89.89, 89.69 and 89.82 degrees. The inequivalent atoms are Ba at (0.005, 0.003, 0.250), Sr at (0.489, 0.498, 0.751), Sm at (0.000, 0.500, 0.500), Sm at (0.500, 0.000, 0.000), Mn at (0.000, 0.500, 0.000), Mn at (0.500, 0.000, 0.500), O at (0.034, 0.472, 0.771), O at (0.217, 0.742, 0.995), O at (0.249, 0.292, 0.030), O at (0.264, 0.777, 0.509), O at (0.285, 0.242, 0.470) and O at (0.481, 0.044, 0.728).